(1)
# Li2Tb2USe6

Li2Tb2USe6 after structural relaxation (PBE, Alexandria via LeMat-Bulk).

Summary:
Volume = 284.8 Å³/f.u.
Raw formation energy = -1519 meV per atom
VASP energy = -62.00 eV per formula unit

Unit cell a=7.120 b=7.120 c=6.894 alpha=99.82 beta=99.82 gamma=119.92
Element x y z (fractional)
Li 0.168 0.832 0.000
Li 0.832 0.168 0.000
Tb 0.334 0.666 0.500
Tb 0.666 0.334 0.500
U 0.000 0.000 0.500
Se 0.078 0.411 0.749
Se 0.242 0.242 0.252
Se 0.411 0.078 0.749
Se 0.589 0.922 0.251
Se 0.758 0.758 0.748
Se 0.922 0.589 0.251


(2)
# LiTb2Y3Se6

LiTb2Y3Se6 after structural relaxation (PBE, Alexandria via LeMat-Bulk).

Summary:
Volume = 285.3 Å³/f.u.
Raw formation energy = -1765 meV per atom
VASP energy = -72.66 eV per formula unit

Unit cell a=7.044 b=7.044 c=7.055 alpha=99.64 beta=99.64 gamma=120.12
Element x y z (fractional)
Li 0.000 0.000 0.000
Tb 0.335 0.665 0.000
Tb 0.665 0.335 0.000
Y 0.168 0.832 0.500
Y 0.500 0.500 0.500
Y 0.832 0.168 0.500
Se 0.081 0.405 0.245
Se 0.240 0.240 0.757
Se 0.405 0.081 0.245
Se 0.595 0.919 0.755
Se 0.760 0.760 0.243
Se 0.919 0.595 0.755


(3)
# Li3Tb2YSe6

Li3Tb2YSe6 after structural relaxation (PBE, Alexandria via LeMat-Bulk).

Summary:
Volume = 281.6 Å³/f.u.
Raw formation energy = -1700 meV per atom
VASP energy = -62.77 eV per formula unit

Unit cell a=7.071 b=7.071 c=6.916 alpha=99.81 beta=99.81 gamma=120.00
Element x y z (fractional)
Li 0.000 0.000 0.000
Li 0.334 0.666 0.000
Li 0.666 0.334 0.000
Tb 0.167 0.833 0.500
Tb 0.833 0.167 0.500
Y 0.500 0.500 0.500
Se 0.083 0.415 0.246
Se 0.252 0.252 0.754
Se 0.415 0.083 0.246
Se 0.585 0.917 0.754
Se 0.748 0.748 0.246
Se 0.917 0.585 0.754


(4)
# Li3TbY2Se6

Li3TbY2Se6 after structural relaxation (PBE, Alexandria via LeMat-Bulk).

Summary:
Volume = 280.9 Å³/f.u.
Raw formation energy = -1702 meV per atom
VASP energy = -64.63 eV per formula unit

Unit cell a=7.062 b=7.062 c=6.915 alpha=99.79 beta=99.79 gamma=120.00
Element x y z (fractional)
Li 0.000 0.000 0.000
Li 0.333 0.667 0.000
Li 0.667 0.333 0.000
Tb 0.500 0.500 0.500
Y 0.167 0.833 0.500
Y 0.833 0.167 0.500
Se 0.081 0.416 0.246
Se 0.251 0.251 0.754
Se 0.416 0.081 0.246
Se 0.584 0.919 0.754
Se 0.749 0.749 0.246
Se 0.919 0.584 0.754


(5)
# Li2Tb3YSe6

Li2Tb3YSe6 after structural relaxation (PBE, Alexandria via LeMat-Bulk).

Summary:
Volume = 282.1 Å³/f.u.
Raw formation energy = -1739 meV per atom
VASP energy = -65.96 eV per formula unit

Unit cell a=7.015 b=7.015 c=7.021 alpha=99.60 beta=99.60 gamma=119.99
Element x y z (fractional)
Li 0.168 0.832 0.000
Li 0.832 0.168 0.000
Tb 0.000 0.000 0.500
Tb 0.334 0.666 0.500
Tb 0.666 0.334 0.500
Y 0.500 0.500 0.000
Se 0.081 0.419 0.759
Se 0.242 0.242 0.242
Se 0.419 0.081 0.759
Se 0.581 0.919 0.241
Se 0.758 0.758 0.758
Se 0.919 0.581 0.241


(6)
# LiTbY2Se4

LiTbY2Se4 after structural relaxation (PBE, Alexandria via LeMat-Bulk).

Summary:
Volume = 189.5 Å³/f.u.
Raw formation energy = -1756 meV per atom
VASP energy = -47.46 eV per formula unit

Unit cell a=7.037 b=4.053 c=7.038 alpha=90.00 beta=109.29 gamma=90.00
Element x y z (fractional)
Li 0.000 0.000 0.000
Tb 0.500 0.500 0.000
Y 0.000 0.500 0.500
Y 0.500 0.000 0.500
Se 0.243 0.500 0.243
Se 0.244 0.000 0.755
Se 0.756 0.000 0.245
Se 0.757 0.500 0.757


(7)
# LiTb3Y2Se6

LiTb3Y2Se6 after structural relaxation (PBE, Alexandria via LeMat-Bulk).

Summary:
Volume = 285.4 Å³/f.u.
Raw formation energy = -1765 meV per atom
VASP energy = -70.82 eV per formula unit

Unit cell a=7.043 b=7.043 c=7.060 alpha=99.62 beta=99.62 gamma=120.13
Element x y z (fractional)
Li 0.000 0.000 0.000
Tb 0.167 0.833 0.500
Tb 0.500 0.500 0.500
Tb 0.833 0.167 0.500
Y 0.335 0.665 0.000
Y 0.665 0.335 0.000
Se 0.081 0.405 0.244
Se 0.241 0.241 0.758
Se 0.405 0.081 0.244
Se 0.595 0.919 0.756
Se 0.759 0.759 0.242
Se 0.919 0.595 0.756


(8)
# LiTb4Y3Se8

LiTb4Y3Se8 after structural relaxation (PBE, Alexandria via LeMat-Bulk).

Summary:
Volume = 383.3 Å³/f.u.
Raw formation energy = -1761 meV per atom
VASP energy = -95.87 eV per formula unit

Unit cell a=8.154 b=8.154 c=8.154 alpha=60.00 beta=60.00 gamma=60.00
Element x y z (fractional)
Li 0.000 0.000 0.000
Tb 0.000 0.000 0.500
Tb 0.000 0.500 0.000
Tb 0.500 0.000 0.000
Tb 0.500 0.500 0.500
Y 0.000 0.500 0.500
Y 0.500 0.000 0.500
Y 0.500 0.500 0.000
Se 0.244 0.244 0.755
Se 0.244 0.755 0.244
Se 0.245 0.756 0.756
Se 0.250 0.250 0.250
Se 0.750 0.750 0.750
Se 0.755 0.244 0.244
Se 0.756 0.245 0.756
Se 0.756 0.756 0.245


(9)
# LiTb4YSe8

LiTb4YSe8 after structural relaxation (PBE, Alexandria via LeMat-Bulk).

Summary:
Volume = 418.2 Å³/f.u.
Raw formation energy = -1785 meV per atom
VASP energy = -79.76 eV per formula unit

Unit cell a=8.391 b=8.391 c=8.391 alpha=60.05 beta=60.05 gamma=60.05
Element x y z (fractional)
Li 0.000 0.000 0.000
Tb 0.110 0.630 0.630
Tb 0.250 0.250 0.250
Tb 0.630 0.110 0.630
Tb 0.630 0.630 0.110
Y 0.630 0.630 0.630
Se 0.384 0.384 0.384
Se 0.384 0.384 0.849
Se 0.384 0.849 0.384
Se 0.391 0.870 0.870
Se 0.849 0.384 0.384
Se 0.870 0.391 0.870
Se 0.870 0.870 0.391
Se 0.870 0.870 0.870


(10)
# Li2TbZr2Se6

Li2TbZr2Se6 after structural relaxation (PBE, Alexandria via LeMat-Bulk).

Summary:
Volume = 258.1 Å³/f.u.
Raw formation energy = -1451 meV per atom
VASP energy = -62.43 eV per formula unit

Unit cell a=6.755 b=6.755 c=6.933 alpha=99.29 beta=99.29 gamma=120.38
Element x y z (fractional)
Li 0.164 0.836 0.000
Li 0.836 0.164 0.000
Tb 0.000 0.000 0.500
Zr 0.334 0.666 0.500
Zr 0.666 0.334 0.500
Se 0.081 0.429 0.748
Se 0.264 0.264 0.250
Se 0.429 0.081 0.748
Se 0.571 0.919 0.252
Se 0.736 0.736 0.750
Se 0.919 0.571 0.252


(11)
# Li3Tb3ZrSe8

Li3Tb3ZrSe8 after structural relaxation (PBE, Alexandria via LeMat-Bulk).

Summary:
Volume = 369.2 Å³/f.u.
Raw formation energy = -1619 meV per atom
VASP energy = -80.34 eV per formula unit

Unit cell a=8.005 b=8.005 c=8.005 alpha=60.79 beta=60.79 gamma=60.79
Element x y z (fractional)
Li 0.000 0.500 0.500
Li 0.500 0.000 0.500
Li 0.500 0.500 0.000
Tb 0.000 0.000 0.500
Tb 0.000 0.500 0.000
Tb 0.500 0.000 0.000
Zr 0.500 0.500 0.500
Se 0.252 0.252 0.252
Se 0.259 0.259 0.736
Se 0.259 0.736 0.259
Se 0.264 0.741 0.741
Se 0.736 0.259 0.259
Se 0.741 0.264 0.741
Se 0.741 0.741 0.264
Se 0.748 0.748 0.748


(12)
# LiTb2ZrSe4

LiTb2ZrSe4 after structural relaxation (PBE, Alexandria via LeMat-Bulk).

Summary:
Volume = 179.2 Å³/f.u.
Raw formation energy = -1558 meV per atom
VASP energy = -46.13 eV per formula unit

Unit cell a=6.759 b=3.991 c=7.035 alpha=90.00 beta=109.21 gamma=90.00
Element x y z (fractional)
Li 0.000 0.000 0.000
Tb 0.500 0.000 0.500
Tb 0.500 0.500 0.000
Zr 0.000 0.500 0.500
Se 0.233 0.000 0.751
Se 0.233 0.500 0.242
Se 0.767 0.000 0.249
Se 0.767 0.500 0.758